Entry 1:
A plane-wave DFT calculation with PBE+U was carried out for crystalline Li2Mn3GeO6 at its relaxed geometry.

Values from the calculation:
Electronic total energy   -80.01 eV for the cell shown

Lattice parameters (Å, degrees): 5.2608 5.2608 5.3527 101.21 101.21 118.13
Closest atoms and distances in Å follow each position.
Positions (direct):
1 Li 0.3433 0.6567 0.0000  6 O 2.08-2.28
2 Li 0.6567 0.3433 0.0000  6 O 2.08-2.28
3 Mn 0.1725 0.8275 0.5000  6 O 2.18-2.24
4 Mn 0.8275 0.1725 0.5000  6 O 2.18-2.24
5 Mn 0.5000 0.5000 0.5000  4 O 2.05
6 Ge 0.0000 0.0000 0.0000  6 O 1.95-1.98
7 O 0.9087 0.6119 0.7553  1 Ge 1.98, 1 Mn 2.05
8 O 0.7799 0.7799 0.2168  1 Ge 1.95, 2 Li 2.08, 2 Mn 2.18
9 O 0.0913 0.3881 0.2447  1 Ge 1.98, 1 Mn 2.05
10 O 0.6119 0.9087 0.7553  1 Ge 1.98, 1 Mn 2.05
11 O 0.2201 0.2201 0.7832  1 Ge 1.95, 2 Li 2.08, 2 Mn 2.18
12 O 0.3881 0.0913 0.2447  1 Ge 1.98, 1 Mn 2.05

---

Entry 2:
A plane-wave DFT calculation with PBE+U was carried out for crystalline Li2Mn2GeO6 at its relaxed geometry.

Values from the calculation:
DOS at the Fermi energy   0.000 states/eV/atom
Electronic total energy   -70.33 eV for the cell shown

Lattice parameters (Å, degrees): 5.0422 5.0422 5.1919 99.48 99.48 119.87
Closest atoms and distances in Å follow each position.
Positions (direct):
1 Li 0.8282 0.1718 0.0000  6 O 2.17-2.20
2 Li 0.1718 0.8282 0.0000  6 O 2.17-2.20
3 Mn 0.3340 0.6660 0.5000  6 O 1.96-2.02
4 Mn 0.6660 0.3340 0.5000  6 O 1.96-2.02
5 Ge 0.0000 0.0000 0.5000  6 O 1.90-1.96
6 O 0.7533 0.7533 0.7086  1 Ge 1.90, 2 Mn 2.00
7 O 0.0622 0.3955 0.7131  1 Ge 1.96, 2 Mn 1.96-2.02, 2 Li 2.17-2.18
8 O 0.2467 0.2467 0.2914  1 Ge 1.90, 2 Mn 2.00
9 O 0.3955 0.0622 0.7131  1 Ge 1.96, 2 Mn 1.96-2.02, 2 Li 2.17-2.18
10 O 0.9378 0.6045 0.2869  1 Ge 1.96, 2 Mn 1.96-2.02, 2 Li 2.17-2.18
11 O 0.6045 0.9378 0.2869  1 Ge 1.96, 2 Mn 1.96-2.02, 2 Li 2.17-2.18

---

Entry 3:
A plane-wave DFT calculation with PBE+U was carried out for crystalline LiMn2GeO6 at its relaxed geometry.

Values from the calculation:
DOS at the Fermi energy   0.020 states/eV/atom
Electronic total energy   -67.33 eV for the cell shown

Lattice parameters (Å, degrees): 5.0045 4.9433 5.4918 64.13 60.85 60.95
Closest atoms and distances in Å follow each position.
Positions (direct):
1 Li 0.8144 0.7931 0.5989  4 O 1.99-2.22
2 Mn 0.5122 0.5200 0.4429  5 O 1.95-2.14
3 Mn 0.0097 0.0096 0.9669  6 O 1.90-1.99
4 Ge 0.3234 0.3165 0.0379  6 O 1.85-1.99
5 O 0.5921 0.2460 0.2268  1 Ge 1.90, 2 Mn 1.95-1.99
6 O 0.2142 0.9491 0.2270  1 Ge 1.85, 1 Mn 1.98
7 O 0.9287 0.6076 0.2308  1 Ge 1.90, 2 Mn 1.98-1.99
8 O 0.3954 0.7173 0.7558  2 Mn 1.93-2.04, 1 Ge 1.98, 1 Li 2.00
9 O 0.7334 0.1182 0.7704  1 Mn 1.90, 1 Ge 1.92, 1 Li 1.99
10 O 0.1381 0.3842 0.7579  2 Mn 1.93-2.00, 1 Ge 1.99, 1 Li 2.03

---

Size of the total moment
In order: 13.000, 4.000, 7.000
Unit: μB/f.u.